# 1
4
Lattice="3.6157 0.0000 0.0071 0.0000 5.5534 0.0000 -0.0084 0.0000 6.0694" Properties=species:S:1:pos:R:3 comment="GGA-PBEsol La2YPb, optimized geometry" total_magnetization_mub_per_cell=0.00 dos_at_fermi_per_ev_cell=5.0 formation_energy_ev_per_atom=-0.301 pbc="T T T"
La 3.1530 0.0000 5.7780
La 3.1630 2.7767 1.8608
Pb 1.3529 0.0000 2.8469
Y 1.3494 2.7767 4.7054



# 2
4
Lattice="-0.2272 -2.6613 0.4871 3.6028 0.4267 4.0115 -5.4289 0.6754 1.1576" Properties=species:S:1:pos:R:3 comment="GGA-PBEsol SrMo2Pt, optimized geometry" total_magnetization_mub_per_cell=0.00 dos_at_fermi_per_ev_cell=3.6 relative_energy_mev_per_atom=351 formation_energy_ev_per_atom=0.736 pbc="T T T"
Mo -0.9130 0.5510 2.5845
Mo -2.7144 0.3377 0.5788
Pt -0.1136 -1.3307 0.2436
Sr 1.6878 -1.1173 2.2493



# 3
4
Lattice="5.3330 0.0000 0.0000 2.6665 4.6185 0.0000 2.6665 1.5395 4.3543" Properties=species:S:1:pos:R:3 comment="GGA-PBEsol Pm2InHg, optimized geometry" total_magnetization_mub_per_cell=0.31 dos_at_fermi_per_ev_cell=5.7 formation_energy_ev_per_atom=-0.531 pbc="T T T"
Pm 7.9994 4.6185 3.2658
Pm 2.6665 1.5395 1.0886
Hg 0.0000 0.0000 0.0000
In 5.3330 3.0790 2.1772



# 4
3
Lattice="4.4945 0.0000 0.0000 2.2473 3.8924 0.0000 2.2473 1.2975 3.6698" Properties=species:S:1:pos:R:3 comment="GGA-PBEsol InAgAu, optimized geometry" total_magnetization_mub_per_cell=0.00 dos_at_fermi_per_ev_cell=1.1 relative_energy_mev_per_atom=63 formation_energy_ev_per_atom=-0.057 pbc="T T T"
Au 2.2473 1.2975 0.9174
Ag 4.4945 2.5949 1.8349
In 0.0000 0.0000 0.0000